Computed, not measured: an optimized crystal structure of Dy2Cd3Ag2 at the GGA-PBE level of DFT.

Cell and atoms, written as POSCAR:
```
Dy2Cd3Ag2
1.0
2.314 -10.358 0.000
2.314 10.358 0.000
0.000 0.000 3.431
Dy Cd Ag
2 3 2
direct
0.161 0.839 0.000
0.839 0.161 0.000
0.000 0.000 0.000
0.427 0.573 0.500
0.573 0.427 0.500
0.288 0.712 0.500
0.712 0.288 0.500
```

Results
E_tot (eV/atom): -2.738
Crystal system: orthorhombic
Offset from the most stable computed form (meV per atom): 55.3

***

Computed, not measured: an optimized crystal structure of CsTaCu3 at the GGA-PBE level of DFT.

Cell and atoms, written as POSCAR:
```
CsTaCu3
1.0
5.103 0.000 0.000
0.000 5.103 0.000
0.000 0.000 5.103
Cs Ta Cu
1 1 3
direct
0.000 0.000 0.000
0.500 0.500 0.500
0.000 0.500 0.500
0.500 0.000 0.500
0.500 0.500 0.000
```

Results
E_tot (eV/atom): -3.901
Crystal system: cubic
Offset from the most stable computed form (meV per atom): 0.0

***

Computed, not measured: an optimized crystal structure of Sr2BeSn2 at the GGA-PBE level of DFT.

Cell and atoms, written as POSCAR:
```
Sr2BeSn2
1.0
8.758 0.000 0.000
0.000 8.758 0.000
0.000 0.000 4.551
Sr Be Sn
4 2 4
direct
0.182 0.318 0.000
0.318 0.818 0.000
0.682 0.182 0.000
0.818 0.682 0.000
0.000 0.000 0.000
0.500 0.500 0.000
0.115 0.615 0.500
0.385 0.115 0.500
0.615 0.885 0.500
0.885 0.385 0.500
```

Results
E_tot (eV/atom): -2.882
Crystal system: tetragonal
Offset from the most stable computed form (meV per atom): 323.5

***

Computed, not measured: an optimized crystal structure of AsPd at the GGA-PBE level of DFT.

Cell and atoms, written as POSCAR:
```
AsPd
1.0
3.088 0.000 0.000
0.000 4.343 0.000
-1.485 0.000 4.994
As Pd
2 2
direct
0.147 0.250 0.291
0.853 0.750 0.709
0.404 0.250 0.816
0.596 0.750 0.184
```

Results
E_tot (eV/atom): -5.145
Crystal system: monoclinic

***

Computed, not measured: an optimized crystal structure of TlCdGa2 at the GGA-PBE level of DFT.

Cell and atoms, written as POSCAR:
```
TlCdGa2
1.0
4.546 0.000 0.000
0.000 4.546 0.000
0.000 0.000 4.500
Tl Cd Ga
1 1 2
direct
0.000 0.000 0.000
0.500 0.500 0.000
0.000 0.500 0.500
0.500 0.000 0.500
```

Results
E_tot (eV/atom): -2.228
Crystal system: tetragonal
Offset from the most stable computed form (meV per atom): 46.7

***

Computed, not measured: an optimized crystal structure of Dy2Ho6Sc at the GGA-PBE level of DFT.

Cell and atoms, written as POSCAR:
```
Dy2Ho6Sc
1.0
5.531 -2.473 0.000
5.531 2.473 0.000
-3.318 0.000 9.962
Dy Ho Sc
2 6 1
direct
0.002 0.002 0.171
0.998 0.998 0.829
0.332 0.332 0.608
0.334 0.334 0.945
0.337 0.337 0.281
0.663 0.663 0.719
0.666 0.666 0.055
0.668 0.668 0.392
0.000 0.000 0.500
```

Results
E_tot (eV/atom): -4.747
Crystal system: monoclinic
Offset from the most stable computed form (meV per atom): 0.0

***

Computed, not measured: an optimized crystal structure of BaZrRe2 at the GGA-PBE level of DFT.

Cell and atoms, written as POSCAR:
```
BaZrRe2
1.0
3.332 0.000 0.000
0.000 4.139 0.000
0.000 0.000 7.348
Ba Zr Re
1 1 2
direct
0.000 0.000 0.000
0.000 0.000 0.500
0.500 0.500 0.344
0.500 0.500 0.656
```

Results
E_tot (eV/atom): -8.199
Crystal system: orthorhombic
Offset from the most stable computed form (meV per atom): 121.1

***

Computed, not measured: an optimized crystal structure of MnMo2Cl at the GGA-PBE level of DFT.

Cell and atoms, written as POSCAR:
```
MnMo2Cl
1.0
2.556 -4.196 0.000
2.556 4.196 0.000
0.000 0.000 2.862
Mn Mo Cl
1 2 1
direct
0.000 0.000 0.000
0.000 0.500 0.500
0.500 0.000 0.500
0.500 0.500 0.000
```

Results
Uncorrected formation energy (eV/atom): 0.795
E_tot (eV/atom): -7.374
Crystal system: orthorhombic
Offset from the most stable computed form (meV per atom): 624.1